Record 1
Computed, not measured: Ca5CoN4 after structural relaxation at the PBE-GGA level of DFT.

Its crystal system is orthorhombic. Its total magnetic moment is 6.0 μB per cell. The symmetry is Pmmn (59). The value obtained for the formation energy from raw total energies is -441 meV per atom.

Unit cell a=5.908 b=7.341 c=7.940 alpha=90.00 beta=90.00 gamma=90.00
Site moments in Bohr magnetons follow the coordinates.
Positions (direct):
Ca  0.299  0.500  0.500  0.04
Ca  0.753  0.256  0.299  0.01
Ca  0.247  0.244  0.201  0.01
Ca  0.247  0.244  0.799  0.01
Ca  0.753  0.256  0.701  0.01
Ca  0.247  0.756  0.799  0.01
Ca  0.701  0.000  0.000  0.04
Ca  0.753  0.744  0.701  0.01
Ca  0.247  0.756  0.201  0.01
Ca  0.753  0.744  0.299  0.01
N  0.496  0.000  0.254  0.06
N  0.504  0.500  0.246  0.06
N  0.496  0.000  0.746  0.06
N  0.080  0.772  0.500  0.14
N  0.504  0.500  0.754  0.06
N  0.920  0.272  0.000  0.14
N  0.080  0.228  0.500  0.14
N  0.920  0.728  0.000  0.14
Co  0.252  0.000  0.500  2.15
Co  0.748  0.500  0.000  2.15

=====

Record 2
Computed, not measured: Ca3Co3N5 after structural relaxation at the PBE-GGA level of DFT.

Its crystal system is triclinic. Its total magnetic moment is 2.8 μB per cell. The symmetry is P-1 (2). The value obtained for the formation energy from raw total energies is -409 meV per atom.

Unit cell a=5.550 b=6.740 c=8.291 alpha=108.63 beta=104.69 gamma=94.91
Site moments in Bohr magnetons follow the coordinates.
Positions (direct):
Co  0.313  0.054  0.438  0.78
Co  0.915  0.320  0.974  -0.17
Co  0.899  0.118  0.288  0.43
Co  0.687  0.946  0.562  0.78
Co  0.085  0.680  0.026  -0.17
Co  0.101  0.882  0.712  0.43
N  0.372  0.947  0.624  0.12
N  0.748  0.535  0.904  -0.01
N  0.175  0.301  0.488  0.09
N  0.066  0.885  0.225  0.02
N  0.774  0.228  0.116  0.01
N  0.226  0.772  0.884  0.01
N  0.934  0.115  0.775  0.02
N  0.825  0.699  0.512  0.09
N  0.252  0.465  0.096  -0.01
N  0.628  0.053  0.376  0.12
Ca  0.344  0.330  0.800  0.01
Ca  0.816  0.409  0.610  0.01
Ca  0.656  0.670  0.200  0.01
Ca  0.656  0.869  0.871  0.00
Ca  0.344  0.131  0.129  0.00
Ca  0.184  0.591  0.390  0.01

=====

Record 3
Computed, not measured: CaCoN2 after structural relaxation at the PBE-GGA level of DFT.

Its crystal system is trigonal. Its total magnetic moment is 0.0 μB per cell. The symmetry is R-3m (166). The value obtained for the formation energy from raw total energies is 281 meV per atom.

Unit cell a=6.028 b=6.028 c=6.028 alpha=35.61 beta=35.61 gamma=35.61
Positions (direct):
N  0.903  0.903  0.903
N  0.097  0.097  0.097
Co  0.000  0.000  0.000
Ca  0.500  0.500  0.500

=====

Record 4
Computed, not measured: CaCoN after structural relaxation at the PBE-GGA level of DFT.

Its crystal system is hexagonal. Its total magnetic moment is 1.2 μB per cell. The symmetry is P-6m2 (187). The value obtained for the formation energy from raw total energies is -189 meV per atom.

Unit cell a=4.035 b=3.382 c=3.382 alpha=120.00 beta=90.00 gamma=90.00
Site moments in Bohr magnetons follow the coordinates.
Positions (direct):
N  0.166  0.000  0.000  0.11
Co  0.167  0.333  0.667  1.07
Ca  0.667  0.667  0.333  -0.03

=====

Record 5
Computed, not measured: Ca5Co2N4 after structural relaxation at the PBE-GGA level of DFT.

Its crystal system is tetragonal. Its total magnetic moment is 16.2 μB per cell. The symmetry is P4/ncc (130). The value obtained for the formation energy from raw total energies is -680 meV per atom.

Unit cell a=8.085 b=8.085 c=12.042 alpha=90.00 beta=90.00 gamma=90.00
Site moments in Bohr magnetons follow the coordinates.
Positions (direct):
Ca  0.674  0.382  0.596  0.02
Ca  0.618  0.326  0.904  0.02
Ca  0.882  0.826  0.596  0.02
Ca  0.500  0.000  0.651  0.01
Ca  0.326  0.382  0.096  0.02
Ca  0.118  0.174  0.596  0.02
Ca  0.000  0.500  0.349  0.01
Ca  0.174  0.882  0.404  0.02
Ca  0.382  0.326  0.404  0.02
Ca  0.618  0.674  0.404  0.02
Ca  0.326  0.618  0.596  0.02
Ca  0.382  0.674  0.904  0.02
Ca  0.174  0.118  0.904  0.02
Ca  0.000  0.500  0.849  0.01
Ca  0.826  0.882  0.904  0.02
Ca  0.118  0.826  0.096  0.02
Ca  0.674  0.618  0.096  0.02
Ca  0.882  0.174  0.096  0.02
Ca  0.500  0.000  0.151  0.01
Ca  0.826  0.118  0.404  0.02
N  0.110  0.799  0.893  0.14
N  0.201  0.890  0.607  0.14
N  0.610  0.701  0.607  0.14
N  0.890  0.799  0.393  0.14
N  0.299  0.610  0.393  0.14
N  0.799  0.890  0.107  0.14
N  0.701  0.610  0.893  0.14
N  0.110  0.201  0.393  0.14
N  0.890  0.201  0.893  0.14
N  0.390  0.701  0.107  0.14
N  0.610  0.299  0.107  0.14
N  0.299  0.390  0.893  0.14
N  0.799  0.110  0.607  0.14
N  0.201  0.110  0.107  0.14
N  0.701  0.390  0.393  0.14
N  0.390  0.299  0.607  0.14
Co  0.842  0.842  0.250  1.57
Co  0.342  0.342  0.750  1.57
Co  0.658  0.342  0.250  1.57
Co  0.158  0.158  0.250  1.57
Co  0.842  0.158  0.750  1.57
Co  0.158  0.842  0.750  1.57
Co  0.658  0.658  0.750  1.57
Co  0.342  0.658  0.250  1.57

=====

Record 6
Computed, not measured: CaCoN4 after structural relaxation at the PBE-GGA level of DFT.

Its crystal system is monoclinic. Its total magnetic moment is 1.3 μB per cell. The symmetry is C2/c (15). The value obtained for the formation energy from raw total energies is -48 meV per atom.

Unit cell a=4.829 b=5.566 c=6.645 alpha=125.71 beta=111.27 gamma=90.03
Site moments in Bohr magnetons follow the coordinates.
Positions (direct):
N  0.292  0.710  0.075  -0.04
N  0.592  0.576  0.498  -0.04
N  0.217  0.790  0.925  -0.04
N  0.094  0.924  0.502  -0.04
N  0.708  0.290  0.925  -0.04
N  0.783  0.210  0.075  -0.04
N  0.408  0.424  0.502  -0.04
N  0.906  0.076  0.498  -0.04
Co  0.500  0.000  0.500  0.94
Co  0.000  0.500  0.500  0.94
Ca  0.242  0.250  0.000  -0.01
Ca  0.758  0.750  0.000  -0.01

=====

Record 7
Computed, not measured: CaCoN after structural relaxation at the PBE-GGA level of DFT.

Its crystal system is tetragonal. Its total magnetic moment is 0.0 μB per cell. The symmetry is P4/mmm (123). The value obtained for the formation energy from raw total energies is -585 meV per atom.

Unit cell a=3.596 b=3.596 c=3.486 alpha=90.00 beta=90.00 gamma=90.00
Positions (direct):
Ca  0.000  0.000  0.000
N  0.500  0.500  0.000
Co  0.500  0.500  0.500

=====

Record 8
Computed, not measured: Ca3CoN after structural relaxation at the PBE-GGA level of DFT.

Its crystal system is cubic. The excess energy over the best structure of this formula in the dataset comes out at 0.0 kJ/mol of formula units. Its total magnetic moment is 0.0 μB per cell. The symmetry is Pm-3m (221). The value obtained for the formation energy from raw total energies is -84 meV per atom.

Unit cell a=4.794 b=4.794 c=4.794 alpha=90.00 beta=90.00 gamma=90.00
Positions (direct):
Ca  0.000  0.500  0.000
Ca  0.000  0.000  0.500
Ca  0.500  0.000  0.000
Co  0.500  0.500  0.500
N  0.000  0.000  0.000

=====

Record 9
Computed, not measured: CaCo2N after structural relaxation at the PBE-GGA level of DFT.

Its crystal system is tetragonal. Its total magnetic moment is 2.0 μB per cell. The symmetry is I4_1/amd (141). The value obtained for the formation energy from raw total energies is -42 meV per atom.

Unit cell a=5.701 b=5.701 c=5.710 alpha=60.05 beta=60.05 gamma=90.00
Site moments in Bohr magnetons follow the coordinates.
Positions (direct):
N  0.500  0.500  0.000  0.00
N  0.250  0.750  0.500  0.00
Ca  0.750  0.250  0.500  -0.04
Ca  0.000  0.000  0.000  -0.04
Co  0.375  0.625  0.750  0.63
Co  0.375  0.625  0.250  0.64
Co  0.375  0.125  0.250  0.60
Co  0.875  0.625  0.750  0.47

=====

Record 10
Computed, not measured: CaNdCoN2 after structural relaxation at the PBE-GGA level of DFT.

Its crystal system is orthorhombic. Its total magnetic moment is 4.0 μB per cell. The symmetry is Pccm (49). The value obtained for the formation energy from raw total energies is -640 meV per atom.

Unit cell a=5.374 b=5.043 c=6.754 alpha=90.03 beta=90.00 gamma=90.00
Site moments in Bohr magnetons follow the coordinates.
Positions (direct):
N  0.252  0.234  0.000  0.14
N  0.748  0.766  0.000  0.14
N  0.748  0.234  0.500  0.14
N  0.252  0.766  0.500  0.14
Co  0.000  0.000  0.000  1.58
Co  0.000  0.000  0.500  1.58
Nd  0.500  0.000  0.750  0.04
Nd  0.500  0.000  0.250  0.04
Ca  0.000  0.500  0.750  0.00
Ca  0.000  0.500  0.250  0.00

=====

Record 11
Computed, not measured: CaNp2CoN4 after structural relaxation at the PBE-GGA level of DFT.

Its crystal system is orthorhombic. Its total magnetic moment is 6.0 μB per cell. The symmetry is Cmcm (63). The value obtained for the formation energy from raw total energies is -936 meV per atom.

Unit cell a=3.435 b=5.888 c=11.271 alpha=90.00 beta=90.00 gamma=106.96
Site moments in Bohr magnetons follow the coordinates.
Positions (direct):
Co  0.834  0.667  0.750  -1.39
Co  0.166  0.333  0.250  -1.39
N  0.566  0.132  0.250  -0.14
N  0.000  0.000  0.000  -0.16
N  0.261  0.523  0.395  -0.14
N  0.739  0.477  0.605  -0.14
N  0.261  0.523  0.105  -0.14
N  0.000  0.000  0.500  -0.16
N  0.739  0.477  0.895  -0.14
N  0.434  0.868  0.750  -0.14
Ca  0.099  0.198  0.750  0.01
Ca  0.901  0.802  0.250  0.01
Np  0.370  0.740  0.558  2.41
Np  0.630  0.260  0.058  2.41
Np  0.370  0.740  0.942  2.41
Np  0.630  0.260  0.442  2.41